1.
First-principles (GGA-PBE) data for a relaxed PdPtO2 crystal, as listed in Alexandria via LeMat-Bulk.

abc: 6.462 6.462 6.462
angles: 27.44 27.44 27.44
Element x y z (fractional)
Pd: 0.000 0.000 0.000
Pt: 0.500 0.500 0.500
O: 0.394 0.394 0.394
O: 0.606 0.606 0.606

## Properties
Space-group type   R-3m (166)
ρ   10.9 Mg/m³
Energy relative to the elements, uncorrected   -246 meV/atom

=====

2.
First-principles (GGA-PBE) data for a relaxed PdPtO2 crystal, as listed in Alexandria via LeMat-Bulk.

abc: 5.024 5.024 5.024
angles: 109.54 109.54 109.34
Element x y z (fractional)
Pd: 0.000 0.000 0.000
Pd: 0.750 0.250 0.500
Pt: 0.250 0.750 0.500
Pt: 0.500 0.500 0.000
O: 0.140 0.625 0.015
O: 0.375 0.390 0.515
O: 0.610 0.125 0.985
O: 0.875 0.860 0.485

## Properties
Space-group type   I-42d (122)
ρ   11.3 Mg/m³
Energy relative to the elements, uncorrected   216 meV/atom